Run A
## Ho4ZnOs (GGA-PBE)

Data for crystalline Ho4ZnOs at its relaxed geometry.

Results
Mass density in Mg/m³: 9.42
Space-group type: No. 123

Cell: 4.835 4.835 6.900 Å, 89.95 89.98 90.00°
Positions (direct):
Ho (0.501, 0.997, 0.261)
Ho (0.501, 0.998, 0.735)
Ho (0.001, 0.498, 0.735)
Ho (0.001, 0.497, 0.261)
Zn (0.501, 0.497, 0.998)
Os (0.001, 0.997, 0.498)

=====

Run B
## Ho4ZnOs (GGA-PBE)

Data for crystalline Ho4ZnOs at its relaxed geometry.

Results
Mass density in Mg/m³: 10.13
Space-group type: No. 216

Cell: 9.470 9.470 9.470 Å, 60.00 60.00 60.00°
Positions (direct):
Ho (0.400, 0.400, 0.400)
Ho (0.799, 0.400, 0.400)
Ho (0.400, 0.799, 0.400)
Ho (0.400, 0.400, 0.799)
Ho (0.557, 0.557, 0.943)
Ho (0.943, 0.943, 0.557)
Ho (0.557, 0.943, 0.557)
Ho (0.943, 0.557, 0.943)
Ho (0.943, 0.557, 0.557)
Ho (0.557, 0.943, 0.943)
Ho (0.190, 0.190, 0.810)
Ho (0.810, 0.810, 0.190)
Ho (0.190, 0.810, 0.190)
Ho (0.810, 0.190, 0.810)
Ho (0.810, 0.190, 0.190)
Ho (0.190, 0.810, 0.810)
Zn (0.173, 0.173, 0.173)
Zn (0.480, 0.173, 0.173)
Zn (0.173, 0.480, 0.173)
Zn (0.173, 0.173, 0.480)
Os (0.611, 0.611, 0.611)
Os (0.168, 0.611, 0.611)
Os (0.611, 0.168, 0.611)
Os (0.611, 0.611, 0.168)

=====

run B wins, 135 meV per atom ahead of the next structure.

=====

Run A
## HoZrOs (GGA-PBE)

Data for crystalline HoZrOs at its relaxed geometry.

Results
Mass density in Mg/m³: 11.36
Space-group type: No. 107

Cell: 3.343 3.343 6.301 Å, 105.38 105.38 90.00°
Last column: magnetic moment on the atom in μB.
Positions (direct):
Os (0.677, 0.677, 0.353)  0.06
Ho (0.021, 0.021, 0.041)  0.32
Zr (0.303, 0.303, 0.605)  0.34

=====

Run B
## HoZrOs (GGA-PBE)

Data for crystalline HoZrOs at its relaxed geometry.

Results
Mass density in Mg/m³: 10.45
Space-group type: No. 216

Cell: 4.647 4.647 4.647 Å, 60.00 60.00 60.00°
Positions (direct):
Os (0.250, 0.250, 0.250)
Ho (0.500, 0.500, 0.500)
Zr (0.000, 0.000, 0.000)

=====

Run C
## HoZrOs (GGA-PBE)

Data for crystalline HoZrOs at its relaxed geometry.

Results
Mass density in Mg/m³: 10.38
Space-group type: No. 15

Cell: 6.592 6.592 8.040 Å, 113.87 113.86 90.62°
Positions (direct):
Ho (0.164, 0.089, 0.252)
Ho (0.161, 0.586, 0.248)
Ho (0.414, 0.839, 0.752)
Ho (0.911, 0.836, 0.748)
Zr (0.665, 0.090, 0.255)
Zr (0.415, 0.340, 0.755)
Zr (0.660, 0.585, 0.245)
Zr (0.910, 0.335, 0.745)
Os (0.552, 0.977, 0.500)
Os (0.773, 0.698, 0.000)
Os (0.023, 0.448, 0.500)
Os (0.302, 0.227, 0.000)

=====

run C wins, 17 meV per atom ahead of the next structure.

=====

Run A
## HoP2Pd4 (GGA-PBE)

Data for crystalline HoP2Pd4 at its relaxed geometry.

Results
Mass density in Mg/m³: 9.55
Space-group type: No. 65

Cell: 4.176 4.142 6.881 Å, 107.52 90.00 90.00°
Positions (direct):
Ho (0.000, 0.000, 0.000)
P (0.500, 0.584, 0.168)
P (0.500, 0.416, 0.832)
Pd (0.500, 0.827, 0.654)
Pd (0.000, 0.670, 0.339)
Pd (0.500, 0.173, 0.346)
Pd (0.000, 0.330, 0.661)

=====

Run B
## HoP2Pd4 (GGA-PBE)

Data for crystalline HoP2Pd4 at its relaxed geometry.

Results
Mass density in Mg/m³: 9.57
Space-group type: No. 136

Cell: 3.734 7.789 7.789 Å, 90.00 90.00 90.00°
Positions (direct):
Ho (0.500, 0.000, 0.000)
Ho (0.000, 0.500, 0.500)
P (0.000, 0.224, 0.776)
P (0.000, 0.776, 0.224)
P (0.500, 0.724, 0.724)
P (0.500, 0.276, 0.276)
Pd (0.000, 0.070, 0.316)
Pd (0.000, 0.930, 0.684)
Pd (0.500, 0.184, 0.570)
Pd (0.500, 0.816, 0.430)
Pd (0.500, 0.430, 0.816)
Pd (0.500, 0.570, 0.184)
Pd (0.000, 0.316, 0.070)
Pd (0.000, 0.684, 0.930)

=====

run A wins, 7 meV per atom ahead of the next structure.

=====

Run A
## PrHoP2 (GGA-PBE)

Data for crystalline PrHoP2 at its relaxed geometry.

Results
Mass density in Mg/m³: 6.28
Space-group type: No. 166

Cell: 4.100 4.100 7.089 Å, 73.18 73.18 60.02°
Positions (direct):
Pr (0.500, 0.500, 0.500)
Ho (0.000, 0.000, 0.000)
P (0.746, 0.746, 0.763)
P (0.254, 0.254, 0.237)

=====

Run B
## PrHoP2 (GGA-PBE)

Data for crystalline PrHoP2 at its relaxed geometry.

Results
Mass density in Mg/m³: 6.15
Space-group type: No. 160

Cell: 4.059 4.059 7.349 Å, 73.97 73.97 60.00°
Positions (direct):
Pr (0.669, 0.669, 0.992)
Ho (0.498, 0.498, 0.506)
P (0.086, 0.086, 0.741)
P (0.247, 0.247, 0.260)

=====

run A wins, 181 meV per atom ahead of the next structure.

=====

Run A
## HoPuP2 (GGA-PBE)

Data for crystalline HoPuP2 at its relaxed geometry.

Results
Mass density in Mg/m³: 8.54
Space-group type: No. 160

Cell: 3.909 3.909 7.278 Å, 74.42 74.42 60.00°
Last column: magnetic moment on the atom in μB.
Positions (direct):
Ho (0.669, 0.669, 0.993)  0.01
Pu (0.498, 0.498, 0.506)  5.00
P (0.082, 0.082, 0.755)  -0.10
P (0.251, 0.251, 0.246)  -0.12

=====

Run B
## HoPuP2 (GGA-PBE)

Data for crystalline HoPuP2 at its relaxed geometry.

Results
Mass density in Mg/m³: 8.73
Space-group type: No. 166

Cell: 4.000 4.000 6.864 Å, 73.05 73.05 60.01°
Last column: magnetic moment on the atom in μB.
Positions (direct):
Ho (0.000, 0.000, 0.000)  -0.01
Pu (0.500, 0.500, 0.500)  4.92
P (0.751, 0.751, 0.746)  -0.10
P (0.249, 0.249, 0.254)  -0.10

=====

run B wins, 172 meV per atom ahead of the next structure.

=====

Run A
## HoReP2 (GGA-PBE)

Data for crystalline HoReP2 at its relaxed geometry.

Results
Mass density in Mg/m³: 9.75
Space-group type: No. 166

Cell: 3.863 3.863 5.886 Å, 70.85 70.85 60.00°
Positions (direct):
Re (0.000, 0.000, 0.000)
Ho (0.500, 0.500, 0.500)
P (0.269, 0.269, 0.192)
P (0.731, 0.731, 0.808)

=====

Run B
## HoReP2 (GGA-PBE)

Data for crystalline HoReP2 at its relaxed geometry.

Results
Mass density in Mg/m³: 10.76
Space-group type: No. 123

Cell: 3.075 3.075 6.740 Å, 90.00 90.00 90.00°
Positions (direct):
Re (0.500, 0.500, 0.000)
Ho (0.500, 0.500, 0.500)
P (0.000, 0.000, 0.792)
P (0.000, 0.000, 0.208)

=====

run A wins, 250 meV per atom ahead of the next structure.

=====

Run A
## Ho2PS (GGA-PBE)

Data for crystalline Ho2PS at its relaxed geometry.

Results
Mass density in Mg/m³: 7.54
Space-group type: No. 59

Cell: 3.941 5.561 7.897 Å, 90.00 90.00 90.00°
Positions (direct):
Ho (0.000, 0.000, 0.867)
Ho (0.000, 0.000, 0.382)
Ho (0.500, 0.500, 0.618)
Ho (0.500, 0.500, 0.133)
P (0.500, 0.000, 0.628)
P (0.000, 0.500, 0.372)
S (0.000, 0.500, 0.878)
S (0.500, 0.000, 0.122)

=====

Run B
## Ho2PS (GGA-PBE)

Data for crystalline Ho2PS at its relaxed geometry.

Results
Mass density in Mg/m³: 7.38
Space-group type: No. 160

Cell: 3.876 3.876 7.156 Å, 74.29 74.29 60.00°
Positions (direct):
Ho (0.077, 0.077, 0.769)
Ho (0.256, 0.256, 0.231)
P (0.668, 0.668, 0.996)
S (0.499, 0.499, 0.504)

=====

run A wins, 104 meV per atom ahead of the next structure.

=====

Run A
## Ho4P3Se (GGA-PBE)

Data for crystalline Ho4P3Se at its relaxed geometry.

Results
Mass density in Mg/m³: 7.62
Space-group type: No. 221

Cell: 5.659 5.659 5.659 Å, 90.00 90.00 90.00°
Positions (direct):
Ho (0.500, 0.000, 0.000)
Ho (0.000, 0.500, 0.000)
Ho (0.000, 0.000, 0.500)
Ho (0.500, 0.500, 0.500)
P (0.000, 0.500, 0.500)
P (0.500, 0.000, 0.500)
P (0.500, 0.500, 0.000)
Se (0.000, 0.000, 0.000)

=====

Run B
## Ho4P3Se (GGA-PBE)

Data for crystalline Ho4P3Se at its relaxed geometry.

Results
Mass density in Mg/m³: 7.61
Space-group type: No. 139

Cell: 5.660 5.660 6.933 Å, 114.09 114.09 90.00°
Positions (direct):
P (0.500, 0.500, 0.000)
P (0.750, 0.250, 0.500)
P (0.250, 0.750, 0.500)
Ho (0.000, 0.500, 0.000)
Ho (0.500, 0.000, 0.000)
Ho (0.257, 0.257, 0.515)
Ho (0.743, 0.743, 0.485)
Se (0.000, 0.000, 0.000)

=====

run B wins, 16 meV per atom ahead of the next structure.